[1]
First-principles (PBE) data for an optimized crystal structure of CrSbBr3, as listed in Alexandria via LeMat-Bulk.

## Properties
Excess energy over the best structure of this formula in the dataset ... 0.2473 eV per atom
Electronic total energy ... -3.54 eV per atom
Raw formation energy ... 0.21 eV/atom
Spin magnetization ... 5.4 μB per formula unit
Density of states at the Fermi level ... 2.32 states/eV/atom

Lattice parameters (Å, degrees): 5.6669 5.6669 5.6669 90.00 90.00 90.00
Last column: nearest neighbours and their distance in Å.
Fractional coordinates of all 5 atoms:
Cr: 0.0000 0.0000 0.0000  12 Br 4.01
Sb: 0.5000 0.5000 0.5000  6 Br 2.83
Br: 0.0000 0.5000 0.5000  2 Sb 2.83
Br: 0.5000 0.0000 0.5000  2 Sb 2.83
Br: 0.5000 0.5000 0.0000  2 Sb 2.83

[2]
First-principles (PBE) data for an optimized crystal structure of LaMg2Pd, as listed in Alexandria via LeMat-Bulk.

## Properties
Electronic total energy ... -3.43 eV per atom
Spin magnetization ... 0.1 μB per formula unit
Density of states at the Fermi level ... 0.70 states/eV/atom

Lattice parameters (Å, degrees): 10.7608 10.7608 10.7608 17.25 17.25 17.25
Last column: nearest neighbours and their distance in Å.
Fractional coordinates of all 4 atoms:
La: 0.0000 0.0000 0.0000  6 La 3.23, 2 Mg 3.35
Mg: 0.1053 0.1053 0.1053  3 Pd 2.70
Mg: 0.8947 0.8947 0.8947  3 Pd 2.70
Pd: 0.5000 0.5000 0.5000  6 Mg 2.70

Which value of density of states at the Fermi level does entry 1 give? 2.32 states/eV/atom